{
  "formula": "CsSe2S",
  "functional": "GGA-PBE",
  "state": "optimized geometry",
  "magmom_total_mub_per_cell": 0.00,
  "spacegroup": "No. 9",
  "dft_energy_ev_per_atom": -3.419,
  "crystal_system": "monoclinic",
  "raw_formation_energy_mev_per_atom": -432,
  "lattice_angstrom": [[10.862, 0.000, 0.000], [0.000, 8.234, 0.000], [-5.232, 0.000, 6.527]],
  "species": ["Cs", "Cs", "Cs", "Cs", "Se", "Se", "Se", "Se", "Se", "Se", "Se", "Se", "S", "S", "S", "S"],
  "frac_coords": [[0.000, 0.195, 0.000], [0.000, 0.805, 0.500], [0.500, 0.305, 0.500], [0.500, 0.695, 0.000], [0.164, 0.409, 0.497], [0.164, 0.591, 0.997], [0.336, 0.092, 0.002], [0.336, 0.908, 0.502], [0.664, 0.091, 0.997], [0.664, 0.909, 0.497], [0.836, 0.408, 0.502], [0.836, 0.592, 0.002], [0.001, 0.260, 0.500], [0.001, 0.740, 0.000], [0.501, 0.240, 0.000], [0.501, 0.760, 0.500]]
}